Record 1
Tb2Ga9Rh3 after structural relaxation, computed with PBE.

extended XYZ file:
```
28
Lattice="6.5738 -3.7811 0.0000 6.5738 3.7811 0.0000 -4.4042 0.0000 9.5421" Properties=species:S:1:pos:R:3 pbc="T T T"
Tb 1.1134 0.6274 2.3909
Tb -1.0887 -0.6274 7.1619
Tb 9.8320 0.6274 2.3801
Tb 7.6299 -0.6274 7.1512
Ga 5.4732 3.1535 0.7510
Ga 5.4723 3.1535 4.0200
Ga 1.0927 0.6314 5.5189
Ga 4.0986 1.4030 2.4002
Ga 1.0761 0.6395 8.9217
Ga 3.2948 -0.6314 0.7478
Ga 3.2706 0.9783 7.1565
Ga 6.8469 1.4030 2.3709
Ga 3.2782 -0.6395 4.1507
Ga 5.4652 0.6395 5.3914
Ga 1.8965 -1.4030 7.1712
Ga 5.4727 -0.9783 2.3855
Ga 5.4486 0.6314 8.7942
Ga 7.6673 -0.6395 0.6203
Ga 4.6448 -1.4030 7.1419
Ga 7.6506 -0.6314 4.0232
Ga 3.2711 -3.1535 5.5221
Ga 3.2702 -3.1535 8.7910
Rh 3.2869 1.8905 0.0000
Rh 3.2519 1.9411 4.7639
Rh 7.6935 1.9411 0.0072
Rh 1.0848 -1.8905 4.7710
Rh 1.0498 -1.9411 9.5349
Rh 5.4915 -1.9411 4.7782
```

Results
* M_tot: 0.00 μB/cell
* calculated volume: 16.94 Å³ per atom
* space-group type: C2/c, No. 15
* ΔE_f: -718 meV/atom
* VASP energy: -4.9006 eV per atom

Record 2
AlTl2Br after structural relaxation, computed with PBE.

extended XYZ file:
```
16
Lattice="7.7587 0.0000 0.0000 0.0000 7.7587 0.0000 0.0000 0.0000 7.7587" Properties=species:S:1:pos:R:3 pbc="T T T"
Al 0.0000 0.0000 0.0000
Al 0.0000 3.8793 3.8793
Al 3.8793 0.0000 3.8793
Al 3.8793 3.8793 0.0000
Tl 1.9397 1.9397 1.9397
Tl 1.9397 1.9397 5.8190
Tl 1.9397 5.8190 1.9397
Tl 1.9397 5.8190 5.8190
Tl 5.8190 1.9397 1.9397
Tl 5.8190 1.9397 5.8190
Tl 5.8190 5.8190 1.9397
Tl 5.8190 5.8190 5.8190
Br 0.0000 0.0000 3.8793
Br 0.0000 3.8793 0.0000
Br 3.8793 0.0000 0.0000
Br 3.8793 3.8793 3.8793
```

Results
* M_tot: 0.00 μB/cell
* calculated volume: 29.19 Å³ per atom
* space-group type: Fm-3m, No. 225
* E above lowest polymorph: 168.1 meV/atom
* VASP energy: -2.4579 eV per atom
* energy relative to the elements, uncorrected: 0.08 eV/atom

Record 3
PaCuAsO after structural relaxation, computed with PBE.

extended XYZ file:
```
8
Lattice="3.8576 0.0000 0.0000 0.0000 3.8576 0.0000 0.0000 0.0000 8.5098" Properties=species:S:1:pos:R:3 pbc="T T T"
Pa 0.9644 0.9644 1.3574
Pa 2.8932 2.8932 7.1524
Cu 0.9644 2.8932 4.2549
Cu 2.8932 0.9644 4.2549
As 0.9644 0.9644 5.8215
As 2.8932 2.8932 2.6883
O 0.9644 2.8932 0.0000
O 2.8932 0.9644 0.0000
```

Results
* M_tot: 1.83 μB/cell
* calculated volume: 15.83 Å³ per atom
* space-group type: P4/nmm, No. 129
* VASP energy: -7.4926 eV per atom
* energy relative to the elements, uncorrected: -1.69 eV/atom

Record 4
LaRe after structural relaxation, computed with PBE.

extended XYZ file:
```
8
Lattice="5.2687 0.0000 0.0000 -2.6343 4.5628 0.0000 0.0000 0.0000 8.0139" Properties=species:S:1:pos:R:3 pbc="T T T"
La 0.0000 0.0000 2.0035
La 0.0000 0.0000 6.0104
La 0.0000 3.0419 2.0035
La 2.6343 1.5209 6.0104
Re 0.0000 3.0419 4.8411
Re 0.0000 3.0419 7.1797
Re 2.6343 1.5209 0.8342
Re 2.6343 1.5209 3.1727
```

Results
* M_tot: 0.00 μB/cell
* calculated volume: 24.08 Å³ per atom
* space-group type: P6_3/mmc, No. 194
* ΔE_f: 712 meV/atom
* E above lowest polymorph: 560.0 meV/atom
* VASP energy: -7.9761 eV per atom